This record from the Alexandria database describes crystalline LaNbC2Cl at its relaxed geometry. The functional is PBE-GGA.

V	21.16	A^3/atom
Fermi-level density of states	7.150	states/eV/cell
formation energy from raw total energies	1175	kJ/mol of formula units

Structure (CIF):
```
data_LaNbC2Cl
_chemical_formula_sum 'La1 Nb1 C2 Cl1'
_cell_length_a 4.377
_cell_length_b 4.377
_cell_length_c 5.522
_cell_angle_alpha 90.00
_cell_angle_beta 90.00
_cell_angle_gamma 90.00
_symmetry_space_group_name_H-M 'P 1'
_symmetry_Int_Tables_number 1
_symmetry_space_group_name_Hall 'P 1'
loop_
_atom_site_label
_atom_site_type_symbol
_atom_site_fract_x
_atom_site_fract_y
_atom_site_fract_z
La1 La 0.000 0.000 0.000
Nb1 Nb 0.000 0.000 0.500
C1 C 0.000 0.500 0.000
C2 C 0.500 0.000 0.000
Cl1 Cl 0.500 0.500 0.500
```